First-principles (GGA+U) data for CuW3F after structural relaxation, as listed in Alexandria via LeMat-Bulk.

a = 4.2390 Å, b = 4.2390 Å, c = 4.2390 Å
α = 90.00°, β = 90.00°, γ = 90.00°
Last column: nearest neighbours and their distance in Å.
Sites, in units of the cell vectors:
Cu (0.5000, 0.5000, 0.5000)  12 W 3.00
W (0.0000, 0.5000, 0.0000)  2 F 2.12
W (0.0000, 0.0000, 0.5000)  2 F 2.12
W (0.5000, 0.0000, 0.0000)  2 F 2.12
F (0.0000, 0.0000, 0.0000)  6 W 2.12

Results
**Total moment**: 0.000 μB per atom
**E_tot**: -4.129 eV per atom
**Energy above the lowest structure with this stoichiometry**: 0.0000 eV/atom
**SG**: Pm-3m (221)